*A*
# FeSbI2Br

A geometry-optimized FeSbI2Br structure (GGA-PBE, Alexandria via LeMat-Bulk).

Cell: 5.751 5.751 5.823 Å, 90.00 90.00 90.00°
Site moments in Bohr magnetons follow the coordinates.
Fractional coordinates of all 5 atoms:
I: 0.000 0.500 0.000  0.04
I: 0.500 0.000 0.000  0.04
Sb: 0.000 0.000 0.500  0.01
Fe: 0.500 0.500 0.500  3.46
Br: 0.000 0.000 0.000  0.00

Summary:
**Space group**: No. 123
**Size of the total moment**: 0.805 μB per atom
**Crystal system**: tetragonal



*B*
# FeSbI2Br

A geometry-optimized FeSbI2Br structure (GGA-PBE, Alexandria via LeMat-Bulk).

Cell: 5.277 5.277 4.993 Å, 90.00 90.00 90.00°
Fractional coordinates of all 5 atoms:
I: 0.000 0.500 0.000
I: 0.500 0.000 0.000
Sb: 0.000 0.000 0.500
Fe: 0.000 0.000 0.000
Br: 0.500 0.500 0.500

Summary:
**Space group**: No. 123
**Size of the total moment**: 0.001 μB per atom
**Crystal system**: tetragonal



Energy ordering: *B* at the bottom, the next structure 0.830 eV/atom above.



*A*
# ZnFeI2Br

A geometry-optimized ZnFeI2Br structure (GGA-PBE, Alexandria via LeMat-Bulk).

Cell: 6.660 4.511 6.660 Å, 90.00 90.00 90.00°
Site moments in Bohr magnetons follow the coordinates.
Fractional coordinates of all 5 atoms:
I: 0.000 0.000 0.500  0.07
I: 0.500 0.000 0.000  0.10
Zn: 0.500 0.500 0.500  0.00
Fe: 0.000 0.500 0.000  3.09
Br: 0.000 0.000 0.000  0.14

Summary:
**Space group**: No. 123
**Size of the total moment**: 0.739 μB per atom
**Crystal system**: tetragonal



*B*
# ZnFeI2Br

A geometry-optimized ZnFeI2Br structure (GGA-PBE, Alexandria via LeMat-Bulk).

Cell: 6.635 4.737 6.635 Å, 90.00 90.00 90.00°
Site moments in Bohr magnetons follow the coordinates.
Fractional coordinates of all 5 atoms:
I: 0.000 0.000 0.500  0.22
I: 0.500 0.000 0.000  0.10
Zn: 0.000 0.500 0.000  0.00
Fe: 0.500 0.500 0.500  3.45
Br: 0.000 0.000 0.000  0.14

Summary:
**Space group**: No. 123
**Size of the total moment**: 0.912 μB per atom
**Crystal system**: tetragonal



Energy ordering: *A* at the bottom, the next structure 0.248 eV/atom above.



*A*
# InFeBr2

A geometry-optimized InFeBr2 structure (GGA-PBE, Alexandria via LeMat-Bulk).

Cell: 9.297 9.297 9.297 Å, 22.49 22.49 22.49°
Site moments in Bohr magnetons follow the coordinates.
Fractional coordinates of all 4 atoms:
Br: 0.021 0.021 0.021  -0.02
Br: 0.218 0.218 0.218  0.13
Fe: 0.499 0.499 0.499  3.01
In: 0.761 0.761 0.761  -0.04

Summary:
**Space group**: No. 160
**Size of the total moment**: 0.779 μB per atom
**Crystal system**: trigonal



*B*
# InFeBr2

A geometry-optimized InFeBr2 structure (GGA-PBE, Alexandria via LeMat-Bulk).

Cell: 3.600 4.440 7.721 Å, 73.15 90.00 90.00°
Site moments in Bohr magnetons follow the coordinates.
Fractional coordinates of all 4 atoms:
Br: 0.000 0.107 0.911  0.06
Br: 0.500 0.392 0.344  0.07
Fe: 0.000 0.268 0.588  2.92
In: 0.500 0.733 0.657  -0.03

Summary:
**Space group**: No. 6
**Size of the total moment**: 0.767 μB per atom
**Crystal system**: monoclinic



*C*
# InFeBr2

A geometry-optimized InFeBr2 structure (GGA-PBE, Alexandria via LeMat-Bulk).

Cell: 5.314 5.314 3.615 Å, 90.00 90.00 90.00°
Site moments in Bohr magnetons follow the coordinates.
Fractional coordinates of all 4 atoms:
Br: 0.000 0.000 0.000  0.02
Br: 0.500 0.500 0.000  0.02
Fe: 0.500 0.000 0.500  3.09
In: 0.000 0.500 0.500  -0.01

Summary:
**Space group**: No. 123
**Size of the total moment**: 0.824 μB per atom
**Crystal system**: tetragonal



*D*
# InFeBr2

A geometry-optimized InFeBr2 structure (GGA-PBE, Alexandria via LeMat-Bulk).

Cell: 3.621 3.621 9.465 Å, 90.00 90.00 117.71°
Site moments in Bohr magnetons follow the coordinates.
Fractional coordinates of all 4 atoms:
Br: 0.000 0.000 0.941  0.00
Br: 0.500 0.500 0.333  0.12
Fe: 0.000 0.000 0.502  3.11
In: 0.500 0.500 0.724  -0.02

Summary:
**Space group**: No. 35
**Size of the total moment**: 0.823 μB per atom
**Crystal system**: orthorhombic



Energy ordering: *A* at the bottom, the next structure 0.012 eV/atom above.



*A*
# InFeBr2

A geometry-optimized InFeBr2 structure (GGA-PBE, Alexandria via LeMat-Bulk).

Cell: 5.528 5.528 7.272 Å, 68.16 68.16 37.75°
Site moments in Bohr magnetons follow the coordinates.
Fractional coordinates of all 4 atoms:
Br: 0.010 0.010 0.100  0.09
Br: 0.859 0.859 0.649  0.09
Fe: 0.454 0.454 0.375  3.00
In: 0.177 0.177 0.376  -0.05

Summary:
**Space group**: No. 8
**Size of the total moment**: 0.799 μB per atom
**Crystal system**: monoclinic



*B*
# InFeBr2

A geometry-optimized InFeBr2 structure (GGA-PBE, Alexandria via LeMat-Bulk).

Cell: 9.534 9.534 9.534 Å, 21.56 21.56 21.56°
Site moments in Bohr magnetons follow the coordinates.
Fractional coordinates of all 4 atoms:
Fe: 0.500 0.500 0.500  0.20
Br: 0.881 0.881 0.881  0.00
Br: 0.119 0.119 0.119  0.00
In: 0.000 0.000 0.000  0.01

Summary:
**Space group**: No. 166
**Size of the total moment**: 0.059 μB per atom
**Crystal system**: trigonal



Energy ordering: *A* at the bottom, the next structure 0.218 eV/atom above.



*A*
# In2FeBr

A geometry-optimized In2FeBr structure (GGA-PBE, Alexandria via LeMat-Bulk).

Cell: 6.200 6.200 6.200 Å, 150.19 126.41 62.53°
Site moments in Bohr magnetons follow the coordinates.
Fractional coordinates of all 4 atoms:
Br: 0.442 0.442 0.000  0.08
Fe: 0.258 0.758 0.500  2.87
In: 0.043 0.043 0.000  -0.01
In: 0.758 0.258 0.500  -0.01

Summary:
**Space group**: No. 44
**Size of the total moment**: 0.736 μB per atom
**Crystal system**: orthorhombic



*B*
# In2FeBr

A geometry-optimized In2FeBr structure (GGA-PBE, Alexandria via LeMat-Bulk).

Cell: 3.190 3.189 9.599 Å, 90.00 90.00 90.00°
Site moments in Bohr magnetons follow the coordinates.
Fractional coordinates of all 4 atoms:
Br: 0.000 0.000 0.590  0.16
Fe: 0.500 0.500 0.743  3.00
In: 0.000 0.000 0.948  -0.01
In: 0.500 0.500 0.219  0.00

Summary:
**Space group**: No. 99
**Size of the total moment**: 0.799 μB per atom
**Crystal system**: tetragonal



*C*
# In2FeBr

A geometry-optimized In2FeBr structure (GGA-PBE, Alexandria via LeMat-Bulk).

Cell: 5.383 3.174 5.383 Å, 89.94 90.00 90.00°
Site moments in Bohr magnetons follow the coordinates.
Fractional coordinates of all 4 atoms:
Br: 0.000 0.626 0.375  0.01
Fe: 0.500 0.624 0.875  2.95
In: 0.000 0.126 0.875  -0.02
In: 0.500 0.125 0.375  -0.02

Summary:
**Space group**: No. 99
**Size of the total moment**: 0.716 μB per atom
**Crystal system**: tetragonal



*D*
# In2FeBr

A geometry-optimized In2FeBr structure (GGA-PBE, Alexandria via LeMat-Bulk).

Cell: 3.275 5.645 5.188 Å, 90.00 90.00 90.00°
Site moments in Bohr magnetons follow the coordinates.
Fractional coordinates of all 4 atoms:
Br: 0.500 0.000 0.500  0.06
Fe: 0.000 0.500 0.500  3.13
In: 0.000 0.000 0.000  0.00
In: 0.500 0.500 0.000  -0.05

Summary:
**Space group**: No. 47
**Size of the total moment**: 0.795 μB per atom
**Crystal system**: orthorhombic



Energy ordering: *B* at the bottom, the next structure 0.031 eV/atom above.



*A*
# In2FeBr

A geometry-optimized In2FeBr structure (GGA-PBE, Alexandria via LeMat-Bulk).

Cell: 3.354 3.354 7.853 Å, 90.00 90.00 90.00°
Site moments in Bohr magnetons follow the coordinates.
Fractional coordinates of all 4 atoms:
Br: 0.500 0.500 0.250  -0.01
Fe: 0.500 0.500 0.750  2.51
In: 0.000 0.000 0.951  -0.03
In: 0.000 0.000 0.549  -0.03

Summary:
**Space group**: No. 123
**Size of the total moment**: 0.592 μB per atom
**Crystal system**: tetragonal



*B*
# In2FeBr

A geometry-optimized In2FeBr structure (GGA-PBE, Alexandria via LeMat-Bulk).

Cell: 3.273 6.878 6.882 Å, 40.50 90.00 90.00°
Site moments in Bohr magnetons follow the coordinates.
Fractional coordinates of all 4 atoms:
Br: 0.500 0.250 0.250  0.09
Fe: 0.500 0.750 0.750  2.54
In: 0.000 0.924 0.925  -0.07
In: 0.000 0.576 0.575  -0.07

Summary:
**Space group**: No. 65
**Size of the total moment**: 0.590 μB per atom
**Crystal system**: orthorhombic



*C*
# In2FeBr

A geometry-optimized In2FeBr structure (GGA-PBE, Alexandria via LeMat-Bulk).

Cell: 7.238 7.238 4.573 Å, 71.53 71.53 25.00°
Site moments in Bohr magnetons follow the coordinates.
Fractional coordinates of all 4 atoms:
Br: 0.750 0.750 0.750  0.04
Fe: 0.250 0.250 0.250  2.80
In: 0.933 0.933 0.068  -0.04
In: 0.567 0.567 0.432  -0.04

Summary:
**Space group**: No. 12
**Size of the total moment**: 0.670 μB per atom
**Crystal system**: monoclinic



*D*
# In2FeBr

A geometry-optimized In2FeBr structure (GGA-PBE, Alexandria via LeMat-Bulk).

Cell: 5.756 5.756 5.756 Å, 134.65 134.65 66.07°
Site moments in Bohr magnetons follow the coordinates.
Fractional coordinates of all 4 atoms:
Br: 0.250 0.750 0.500  0.04
Fe: 0.750 0.250 0.500  3.06
In: 0.000 0.000 0.000  -0.01
In: 0.500 0.500 0.000  -0.01

Summary:
**Space group**: No. 139
**Size of the total moment**: 0.777 μB per atom
**Crystal system**: tetragonal



Energy ordering: *A* at the bottom, the next structure 0.029 eV/atom above.



*A*
# In2FeBr

A geometry-optimized In2FeBr structure (GGA-PBE, Alexandria via LeMat-Bulk).

Cell: 5.774 5.774 6.023 Å, 63.40 63.40 32.69°
Site moments in Bohr magnetons follow the coordinates.
Fractional coordinates of all 4 atoms:
Br: 0.588 0.588 0.495  0.08
Fe: 0.197 0.197 0.140  2.80
In: 0.930 0.930 0.139  -0.03
In: 0.785 0.785 0.727  0.00

Summary:
**Space group**: No. 8
**Size of the total moment**: 0.719 μB per atom
**Crystal system**: monoclinic



*B*
# In2FeBr

A geometry-optimized In2FeBr structure (GGA-PBE, Alexandria via LeMat-Bulk).

Cell: 5.223 5.223 5.223 Å, 60.00 60.00 60.00°
Site moments in Bohr magnetons follow the coordinates.
Fractional coordinates of all 4 atoms:
Fe: 0.000 0.000 0.000  3.02
Br: 0.500 0.500 0.500  0.02
In: 0.250 0.250 0.250  -0.03
In: 0.750 0.750 0.750  -0.03

Summary:
**Space group**: No. 225
**Size of the total moment**: 0.743 μB per atom
**Crystal system**: cubic



*C*
# In2FeBr

A geometry-optimized In2FeBr structure (GGA-PBE, Alexandria via LeMat-Bulk).

Cell: 5.171 5.171 5.171 Å, 60.00 60.00 60.00°
Site moments in Bohr magnetons follow the coordinates.
Fractional coordinates of all 4 atoms:
Br: 0.500 0.500 0.500  0.04
Fe: 0.750 0.750 0.750  3.09
In: 0.000 0.000 0.000  -0.12
In: 0.250 0.250 0.250  -0.03

Summary:
**Space group**: No. 216
**Size of the total moment**: 0.717 μB per atom
**Crystal system**: cubic



*D*
# In2FeBr

A geometry-optimized In2FeBr structure (GGA-PBE, Alexandria via LeMat-Bulk).

Cell: 3.234 3.234 9.797 Å, 90.00 90.00 103.32°
Site moments in Bohr magnetons follow the coordinates.
Fractional coordinates of all 4 atoms:
Br: 0.000 0.000 0.586  0.14
Fe: 0.500 0.500 0.744  3.03
In: 0.000 0.000 0.950  -0.01
In: 0.500 0.500 0.220  0.01

Summary:
**Space group**: No. 35
**Size of the total moment**: 0.804 μB per atom
**Crystal system**: orthorhombic



Energy ordering: *A* at the bottom, the next structure 0.008 eV/atom above.



*A*
# In2FeBr

A geometry-optimized In2FeBr structure (GGA-PBE, Alexandria via LeMat-Bulk).

Cell: 10.380 10.380 10.380 Å, 18.65 18.65 18.65°
Site moments in Bohr magnetons follow the coordinates.
Fractional coordinates of all 4 atoms:
Br: 0.470 0.470 0.470  0.16
Fe: 0.751 0.751 0.751  2.93
In: 0.016 0.016 0.016  -0.04
In: 0.263 0.263 0.263  -0.03

Summary:
**Space group**: No. 160
**Size of the total moment**: 0.755 μB per atom
**Crystal system**: trigonal



*B*
# In2FeBr

A geometry-optimized In2FeBr structure (GGA-PBE, Alexandria via LeMat-Bulk).

Cell: 5.747 5.747 8.982 Å, 71.34 71.34 90.00°
Site moments in Bohr magnetons follow the coordinates.
Fractional coordinates of all 8 atoms:
Fe: 0.500 0.500 0.000  2.79
Fe: 0.250 0.750 0.500  2.77
Br: 0.000 0.000 0.000  0.04
Br: 0.750 0.250 0.500  0.04
In: 0.529 0.125 0.250  -0.03
In: 0.221 0.625 0.250  -0.03
In: 0.375 0.471 0.750  -0.03
In: 0.875 0.779 0.750  -0.03

Summary:
**Space group**: No. 122
**Size of the total moment**: 0.745 μB per atom
**Crystal system**: tetragonal



Energy ordering: *A* at the bottom, the next structure 0.358 eV/atom above.



*A*
# In2FeBr

A geometry-optimized In2FeBr structure (GGA-PBE, Alexandria via LeMat-Bulk).

Cell: 8.491 8.491 8.491 Å, 24.19 24.19 24.19°
Site moments in Bohr magnetons follow the coordinates.
Fractional coordinates of all 4 atoms:
Br: 0.250 0.250 0.250  -0.02
Fe: 0.750 0.750 0.750  2.32
In: 0.013 0.013 0.013  -0.07
In: 0.487 0.487 0.487  -0.07

Summary:
**Space group**: No. 166
**Size of the total moment**: 0.509 μB per atom
**Crystal system**: trigonal



*B*
# In2FeBr

A geometry-optimized In2FeBr structure (GGA-PBE, Alexandria via LeMat-Bulk).

Cell: 6.361 6.361 6.361 Å, 140.93 140.93 56.45°
Site moments in Bohr magnetons follow the coordinates.
Fractional coordinates of all 4 atoms:
Br: 0.500 0.500 0.000  0.04
Fe: 0.750 0.250 0.500  3.10
In: 0.000 0.000 0.000  0.00
In: 0.250 0.750 0.500  -0.04

Summary:
**Space group**: No. 119
**Size of the total moment**: 0.791 μB per atom
**Crystal system**: tetragonal



Energy ordering: *A* at the bottom, the next structure 0.282 eV/atom above.



*A*
# InFe2Br

A geometry-optimized InFe2Br structure (GGA-PBE, Alexandria via LeMat-Bulk).

Cell: 3.162 3.931 6.501 Å, 89.98 90.00 90.00°
Site moments in Bohr magnetons follow the coordinates.
Fractional coordinates of all 4 atoms:
Br: 0.500 0.750 0.750  0.05
Fe: 0.000 0.750 0.071  2.57
Fe: 0.000 0.750 0.429  2.57
In: 0.500 0.250 0.250  -0.15

Summary:
**Space group**: No. 47
**Size of the total moment**: 1.268 μB per atom
**Crystal system**: orthorhombic



*B*
# InFe2Br

A geometry-optimized InFe2Br structure (GGA-PBE, Alexandria via LeMat-Bulk).

Cell: 5.817 5.817 5.817 Å, 142.09 142.09 54.70°
Site moments in Bohr magnetons follow the coordinates.
Fractional coordinates of all 4 atoms:
Br: 0.750 0.250 0.500  0.10
Fe: 0.000 0.000 0.000  2.62
Fe: 0.250 0.750 0.500  2.86
In: 0.500 0.500 0.000  -0.10

Summary:
**Space group**: No. 119
**Size of the total moment**: 1.375 μB per atom
**Crystal system**: tetragonal



Energy ordering: *A* at the bottom, the next structure 0.366 eV/atom above.



*A*
# InFe2Br

A geometry-optimized InFe2Br structure (GGA-PBE, Alexandria via LeMat-Bulk).

Cell: 7.807 7.807 3.233 Å, 89.88 89.88 23.33°
Site moments in Bohr magnetons follow the coordinates.
Fractional coordinates of all 4 atoms:
Br: 0.285 0.285 0.425  0.08
Fe: 0.081 0.081 0.026  2.45
Fe: 0.659 0.659 0.518  2.85
In: 0.475 0.475 0.531  -0.06

Summary:
**Space group**: No. 8
**Size of the total moment**: 1.336 μB per atom
**Crystal system**: monoclinic



*B*
# InFe2Br

A geometry-optimized InFe2Br structure (GGA-PBE, Alexandria via LeMat-Bulk).

Cell: 7.134 7.134 5.898 Å, 52.78 52.78 90.00°
Site moments in Bohr magnetons follow the coordinates.
Fractional coordinates of all 8 atoms:
Fe: 0.595 0.125 0.250  2.92
Fe: 0.155 0.625 0.250  2.92
Fe: 0.375 0.405 0.750  2.92
Fe: 0.875 0.845 0.750  2.92
Br: 0.500 0.500 0.000  0.10
Br: 0.250 0.750 0.500  0.10
In: 0.000 0.000 0.000  -0.05
In: 0.750 0.250 0.500  -0.05

Summary:
**Space group**: No. 122
**Size of the total moment**: 1.500 μB per atom
**Crystal system**: tetragonal



Energy ordering: *A* at the bottom, the next structure 0.505 eV/atom above.